The following is a DFT calculation (GGA+U) of NaMo2IO after structural relaxation.

Cell and atoms, written as POSCAR:
```
NaMo2IO
1.0
5.742 0.000 0.000
0.000 5.742 0.000
0.000 0.000 4.405
Na Mo I O
1 2 1 1
Cartesian
0.000 0.000 0.000 Na
0.000 2.871 2.202 Mo
2.871 0.000 2.202 Mo
2.871 2.871 2.202 I
2.871 2.871 0.000 O
```

Total magnetic moment: 9.40 μB/cell
VASP energy: -3.36 eV/atom